{
  "formula": "RbCrF2",
  "functional": "PBE with a Hubbard U",
  "state": "relaxed",
  "space_group": "I-42d, No. 122",
  "vol_a3_per_cell": 359,
  "e_tot_ev_per_cell": -79.3,
  "e_above_lowest_polymorph_mev_per_atom": 156,
  "cell": [[5.325, 0.000, 0.000], [0.000, 5.325, 0.000], [0.000, 0.000, 12.668]],
  "species": ["Rb", "Rb", "Rb", "Rb", "Cr", "Cr", "Cr", "Cr", "F", "F", "F", "F", "F", "F", "F", "F"],
  "fractional_positions": [[0.000, 0.000, 0.000], [0.000, 0.500, 0.250], [0.500, 0.000, 0.750], [0.500, 0.500, 0.500], [0.000, 0.000, 0.500], [0.000, 0.500, 0.750], [0.500, 0.000, 0.250], [0.500, 0.500, 0.000], [0.158, 0.250, 0.625], [0.250, 0.658, 0.875], [0.250, 0.842, 0.375], [0.342, 0.250, 0.125], [0.658, 0.750, 0.125], [0.750, 0.158, 0.375], [0.750, 0.342, 0.875], [0.842, 0.750, 0.625]]
}